# Y2Ge3

An optimized crystal structure of Y2Ge3 (PBE, Alexandria via LeMat-Bulk).

Cell: 4.0861 6.4180 8.4046 Å, 90.00 90.00 90.00°
Closest atoms and distances in Å follow each position.
Space group Immm (No. 71)
Asymmetric unit:
Y  0.0000  0.0000  0.2250 (multiplicity 4)  8 Ge 3.01-3.08
Ge  0.0000  0.3006  0.5000 (multiplicity 4)  3 Ge 2.56-2.81
Ge  0.0000  0.5000  0.0000 (multiplicity 2)  4 Ge 2.81, 4 Y 3.08

Properties
**Volume**: 220 Å³/cell


# Ce3Tl

An optimized crystal structure of Ce3Tl (PBE, Alexandria via LeMat-Bulk).

Cell: 7.6616 7.6616 7.6616 Å, 90.00 90.00 90.00°
Closest atoms and distances in Å follow each position.
Space group Fm-3m (No. 225)
Asymmetric unit:
Ce  0.0000  0.0000  0.0000 (multiplicity 4)  8 Ce 3.32
Ce  0.2500  0.2500  0.2500 (multiplicity 8)  4 Tl 3.32, 4 Ce 3.32
Tl  0.0000  0.0000  0.5000 (multiplicity 4)  8 Ce 3.32

Properties
**Volume**: 450 Å³/cell


# HoMnAs3

An optimized crystal structure of HoMnAs3 (PBE, Alexandria via LeMat-Bulk).

Cell: 11.9996 5.6606 5.5246 Å, 90.00 90.00 90.00°
Closest atoms and distances in Å follow each position.
Space group Pbcm (No. 57)
Asymmetric unit:
Ho  0.1876  0.0043  0.2500 (multiplicity 4)  9 As 2.97-3.05
Mn  0.4113  0.7500  0.0000 (multiplicity 4)  6 As 2.47-2.53, 2 Mn 2.76
As  0.0015  0.7500  0.0000 (multiplicity 4)  4 As 2.76-2.83, 4 Ho 2.99-3.00
As  0.2785  0.5019  0.2500 (multiplicity 4)  2 Mn 2.53
As  0.4312  0.1097  0.2500 (multiplicity 4)  4 Mn 2.47

Properties
**Volume**: 375 Å³/cell


| no. | ΔE_f (eV/atom) | size of the total moment (μB/atom) |
| --- | --- | --- |
| 1 | -0.754 | 0.0000 |
| 2 | -0.002 | 1.3081 |
| 3 | -0.679 | 0.4614 |